1.
# InHgAu14

InHgAu14 after structural relaxation (GGA-PBE, Alexandria).

As for the volume: 18.632 Å³/atom. The formation enthalpy at 0 K is 0.11 eV/f.u. The electronic total energy is -3.05 eV per atom.

It has space group Amm2 (No. 38), with a = 9.565 Å, b = 6.429 Å, c = 9.696 Å, α = 90.00°, β = 90.00° and γ = 90.00°. Symmetry generates all atoms from In at (0.000, 0.000, 0.000), Hg at (0.000, 0.000, 0.503), Au at (0.000, 0.246, 0.249), Au at (0.248, 0.000, 0.820), Au at (0.253, 0.000, 0.322), Au at (0.254, 0.248, 0.071), Au at (0.500, 0.000, 0.143), Au at (0.500, 0.000, 0.640) and Au at (0.500, 0.247, 0.891).

***

2.
# K2CdTe

K2CdTe after structural relaxation (GGA-PBE, Alexandria).

As for the volume: 37.071 Å³/atom. The electronic total energy is -2.11 eV per atom. The calculation puts the formation energy without anion corrections at -544 meV/atom. Its relative energy among the computed polymorphs is 8.3 kJ/mol of atoms.

It has space group P4/mmm (No. 123), with a = 5.624 Å, b = 5.624 Å, c = 4.689 Å, α = 90.00°, β = 90.00° and γ = 90.00°. Symmetry generates all atoms from K at (0.000, 0.500, 0.000), Cd at (0.000, 0.000, 0.500) and Te at (0.500, 0.500, 0.500).

***

3.
# TbErTh2Se4

TbErTh2Se4 after structural relaxation (GGA-PBE, Alexandria).

As for the volume: 25.013 Å³/atom. The electronic total energy is -6.38 eV per atom. The calculation puts the formation energy without anion corrections at -1630 meV/atom.

It has space group P2/m (No. 10), with a = 6.945 Å, b = 4.046 Å, c = 7.501 Å, α = 90.00°, β = 108.31° and γ = 90.00°. Symmetry generates all atoms from Tb at (0.000, 0.000, 0.000), Er at (0.500, 0.500, 0.000), Th at (0.000, 0.500, 0.500), Th at (0.500, 0.000, 0.500), Se at (0.247, 0.500, 0.234) and Se at (0.258, 0.000, 0.768).

***

4.
# RbSiAu3

RbSiAu3 after structural relaxation (GGA-PBE, Alexandria).

As for the volume: 37.472 Å³/atom. The electronic total energy is -1.62 eV per atom. The calculation puts the formation energy without anion corrections at 1623 meV/atom. Its relative energy among the computed polymorphs is 183.1 kJ/mol of atoms.

It has space group Pm-3m (No. 221), with a = 5.722 Å, b = 5.722 Å, c = 5.722 Å, α = 90.00°, β = 90.00° and γ = 90.00°. Symmetry generates all atoms from Rb at (0.000, 0.000, 0.000), Si at (0.500, 0.500, 0.500) and Au at (0.000, 0.000, 0.500).

***

5.
# K2U2TiS6

K2U2TiS6 after structural relaxation (GGA-PBE, Alexandria).

As for the volume: 26.488 Å³/atom. The electronic total energy is -6.63 eV per atom. The calculation puts the formation energy without anion corrections at -1413 meV/atom.

It has space group C2/m (No. 12), with a = 6.685 Å, b = 11.452 Å, c = 7.931 Å, α = 90.00°, β = 106.31° and γ = 90.00°. Symmetry generates all atoms from K at (0.000, 0.169, 0.000), U at (0.000, 0.334, 0.500), Ti at (0.000, 0.000, 0.500), S at (0.224, 0.158, 0.694) and S at (0.248, 0.000, 0.307).

***

6.
# Hf2HF

Hf2HF after structural relaxation (GGA-PBE, Alexandria).

As for the volume: 14.403 Å³/atom. The electronic total energy is -7.26 eV per atom. Its relative energy among the computed polymorphs is 0.0 kJ/mol of atoms.

It has space group I-42d (No. 122), with a = 4.904 Å, b = 4.904 Å, c = 9.582 Å, α = 90.00°, β = 90.00° and γ = 90.00°. Symmetry generates all atoms from Hf at (0.216, 0.250, 0.125), H at (0.000, 0.000, 0.000) and F at (0.000, 0.000, 0.500).